[1]
Computed, not measured: a geometry-optimized PmGaAg structure at the PBE level of DFT.

* theoretical density: 7603 kg/m3
* total moment: 0.00 μB per atom
* space-group type: Fdd2, No. 43
* excess energy over the best structure of this formula in the dataset: 0.193 eV per atom
* ΔE_f: -0.277 eV/atom

a b c (Å): 5.270 5.270 6.369
angles (deg): 102.51 102.51 118.46
Fractional coordinates of all 6 atoms:
Pm  0.721  0.279  0.500
Pm  0.971  0.029  0.000
Ga  0.307  0.693  0.000
Ga  0.057  0.943  0.500
Ag  0.629  0.371  0.000
Ag  0.379  0.621  0.500

***

[2]
Computed, not measured: a geometry-optimized PmGa5Ag structure at the PBE level of DFT.

* theoretical density: 6956 kg/m3
* total moment: 0.00 μB per atom
* space-group type: P4/mmm, No. 123
* ΔE_f: -0.275 eV/atom

a b c (Å): 4.513 4.513 7.051
angles (deg): 90.00 90.00 90.00
Fractional coordinates of all 7 atoms:
Ga  0.000  0.500  0.709
Ga  0.500  0.000  0.291
Ga  0.000  0.500  0.291
Ga  0.500  0.500  0.000
Ga  0.500  0.000  0.709
Ag  0.000  0.000  0.500
Pm  0.000  0.000  0.000

***

[3]
Computed, not measured: a geometry-optimized PmGa3Ag2 structure at the PBE level of DFT.

* theoretical density: 7544 kg/m3
* total moment: 0.00 μB per atom
* space-group type: I4/mmm, No. 139
* ΔE_f: -0.272 eV/atom

a b c (Å): 4.262 4.262 14.139
angles (deg): 98.67 98.67 90.00
Fractional coordinates of all 12 atoms:
Ga  0.455  0.955  0.910
Ga  0.307  0.307  0.614
Ga  0.693  0.693  0.386
Ga  0.545  0.045  0.090
Ga  0.045  0.545  0.090
Ga  0.955  0.455  0.910
Ag  0.601  0.601  0.202
Ag  0.750  0.250  0.500
Ag  0.399  0.399  0.798
Ag  0.250  0.750  0.500
Pm  0.149  0.149  0.298
Pm  0.851  0.851  0.702

***

[4]
Computed, not measured: a geometry-optimized Pm2Ga12Ag structure at the PBE level of DFT.

* theoretical density: 6817 kg/m3
* total moment: 0.00 μB per atom
* space-group type: P4/nbm, No. 125
* ΔE_f: -0.306 eV/atom

a b c (Å): 6.269 6.269 15.304
angles (deg): 90.00 90.00 90.00
Fractional coordinates of all 30 atoms:
Pm  0.500  0.000  0.753
Pm  0.000  0.500  0.753
Pm  0.000  0.500  0.247
Pm  0.500  0.000  0.247
Ga  0.750  0.750  0.907
Ga  0.000  0.000  0.654
Ga  0.669  0.831  0.570
Ga  0.750  0.750  0.093
Ga  0.169  0.331  0.430
Ga  0.000  0.000  0.346
Ga  0.750  0.250  0.093
Ga  0.331  0.831  0.430
Ga  0.250  0.250  0.907
Ga  0.500  0.500  0.654
Ga  0.000  0.000  0.815
Ga  0.669  0.169  0.430
Ga  0.331  0.169  0.570
Ga  0.250  0.250  0.093
Ga  0.250  0.750  0.907
Ga  0.500  0.500  0.815
Ga  0.000  0.000  0.185
Ga  0.250  0.750  0.093
Ga  0.831  0.331  0.570
Ga  0.500  0.500  0.185
Ga  0.500  0.500  0.346
Ga  0.750  0.250  0.907
Ga  0.169  0.669  0.570
Ga  0.831  0.669  0.430
Ag  0.500  0.000  0.000
Ag  0.000  0.500  0.000

***

[5]
Computed, not measured: a geometry-optimized PmGaAg structure at the PBE level of DFT.

* theoretical density: 8086 kg/m3
* total moment: 0.00 μB per atom
* space-group type: I4mm, No. 107
* excess energy over the best structure of this formula in the dataset: 0.197 eV per atom
* ΔE_f: -0.273 eV/atom

a b c (Å): 3.421 3.421 6.155
angles (deg): 106.14 106.14 90.00
Fractional coordinates of all 3 atoms:
Ga  0.265  0.265  0.530
Pm  0.946  0.946  0.892
Ag  0.639  0.639  0.278

***

[6]
Computed, not measured: a geometry-optimized Pm3Ga8Ag structure at the PBE level of DFT.

* theoretical density: 7450 kg/m3
* total moment: 0.00 μB per atom
* space-group type: R3m, No. 160
* ΔE_f: -0.412 eV/atom

a b c (Å): 5.576 5.576 9.664
angles (deg): 73.23 73.23 60.00
Fractional coordinates of all 12 atoms:
Pm  0.506  0.506  0.483
Pm  0.991  0.991  0.027
Pm  0.375  0.375  0.874
Ga  0.940  0.940  0.686
Ga  0.189  0.189  0.432
Ga  0.942  0.439  0.180
Ga  0.435  0.940  0.686
Ga  0.439  0.439  0.180
Ga  0.689  0.689  0.932
Ga  0.940  0.435  0.686
Ga  0.439  0.942  0.180
Ag  0.865  0.865  0.406

***

[7]
Computed, not measured: a geometry-optimized Pm6Ga5Ag structure at the PBE level of DFT.

* theoretical density: 7321 kg/m3
* total moment: 0.00 μB per atom
* space-group type: Cmmm, No. 65
* ΔE_f: -0.509 eV/atom

a b c (Å): 5.214 7.373 8.249
angles (deg): 90.00 71.58 90.00
Fractional coordinates of all 12 atoms:
Ga  0.662  0.000  0.675
Ga  0.666  0.500  0.669
Ga  0.334  0.500  0.331
Ga  0.000  0.500  0.000
Ga  0.338  0.000  0.325
Pm  0.168  0.251  0.664
Pm  0.500  0.748  0.000
Pm  0.832  0.749  0.336
Pm  0.168  0.749  0.664
Pm  0.832  0.251  0.336
Pm  0.500  0.252  0.000
Ag  0.000  0.000  0.000

***

[8]
Computed, not measured: a geometry-optimized PmGa4Ag2 structure at the PBE level of DFT.

* theoretical density: 7808 kg/m3
* total moment: 0.00 μB per atom
* space-group type: Immm, No. 71
* excess energy over the best structure of this formula in the dataset: 0.018 eV per atom
* ΔE_f: -0.188 eV/atom

a b c (Å): 4.367 3.081 10.457
angles (deg): 98.47 102.05 90.00
Fractional coordinates of all 7 atoms:
Ag  0.212  0.212  0.424
Ag  0.788  0.788  0.576
Ga  0.652  0.652  0.304
Ga  0.918  0.418  0.836
Ga  0.348  0.348  0.696
Ga  0.082  0.582  0.164
Pm  0.500  0.000  0.000

***

[9]
Computed, not measured: a geometry-optimized PmGaAg structure at the PBE level of DFT.

* theoretical density: 7070 kg/m3
* total moment: 0.00 μB per atom
* space-group type: F-43m, No. 216
* excess energy over the best structure of this formula in the dataset: 0.211 eV per atom
* ΔE_f: -0.260 eV/atom

a b c (Å): 4.750 4.750 4.750
angles (deg): 60.00 60.00 60.00
Fractional coordinates of all 3 atoms:
Ga  0.000  0.000  0.000
Pm  0.500  0.500  0.500
Ag  0.250  0.250  0.250

***

[10]
Computed, not measured: a geometry-optimized PmGa4Ag8 structure at the PBE level of DFT.

* theoretical density: 8948 kg/m3
* total moment: 0.00 μB per atom
* space-group type: I4/mmm, No. 139
* ΔE_f: -0.144 eV/atom

a b c (Å): 5.347 7.198 7.198
angles (deg): 82.07 68.20 68.20
Fractional coordinates of all 13 atoms:
Ag  0.716  0.784  0.784
Ag  0.000  0.652  0.348
Ag  0.284  0.216  0.216
Ag  0.000  0.348  0.652
Ag  0.500  0.216  0.784
Ag  0.500  0.784  0.216
Ag  0.652  0.348  0.348
Ag  0.348  0.652  0.652
Ga  0.500  0.500  0.000
Ga  0.500  0.000  0.500
Ga  0.000  0.000  0.500
Ga  0.000  0.500  0.000
Pm  0.000  0.000  0.000

***

[11]
Computed, not measured: a geometry-optimized Pm3Ga4Ag4 structure at the PBE level of DFT.

* theoretical density: 7954 kg/m3
* total moment: 0.00 μB per atom
* space-group type: Immm, No. 71
* ΔE_f: -0.432 eV/atom

a b c (Å): 4.606 3.725 14.250
angles (deg): 97.51 99.30 90.00
Fractional coordinates of all 11 atoms:
Ag  0.742  0.742  0.484
Ag  0.094  0.594  0.187
Ag  0.906  0.406  0.813
Ag  0.258  0.258  0.516
Ga  0.547  0.547  0.094
Ga  0.188  0.688  0.376
Ga  0.453  0.453  0.906
Ga  0.812  0.312  0.624
Pm  0.000  0.000  0.000
Pm  0.645  0.145  0.289
Pm  0.355  0.855  0.711

***

[12]
Computed, not measured: a geometry-optimized Pm3Ga4Ag2 structure at the PBE level of DFT.

* theoretical density: 7647 kg/m3
* total moment: 0.00 μB per atom
* space-group type: C2/m, No. 12
* ΔE_f: -0.548 eV/atom

a b c (Å): 4.611 5.936 8.696
angles (deg): 111.11 90.00 112.86
Fractional coordinates of all 9 atoms:
Pm  0.671  0.341  0.660
Pm  0.000  0.000  0.000
Pm  0.329  0.659  0.340
Ag  0.397  0.794  0.729
Ag  0.603  0.206  0.271
Ga  0.032  0.064  0.369
Ga  0.741  0.482  0.075
Ga  0.259  0.518  0.925
Ga  0.968  0.936  0.631